Computed, not measured: a crystal of CsHo3Te5 relaxed with PBEsol at the meta-GGA SCAN level of DFT.

Output
Formation energy from raw total energies ... -1354 kJ/mol of formula units
Total magnetic moment ... 0.0 μB per formula unit
Crystal system ... orthorhombic

a = 23.393 Å, b = 4.320 Å, c = 12.872 Å
α = 90.00°, β = 90.00°, γ = 90.00°
Element x y z (fractional)
Cs: 0.088 0.250 0.146
Cs: 0.412 0.750 0.646
Cs: 0.588 0.250 0.354
Cs: 0.912 0.750 0.854
Ho: 0.056 0.750 0.608
Ho: 0.175 0.250 0.798
Ho: 0.198 0.250 0.454
Ho: 0.302 0.750 0.954
Ho: 0.325 0.750 0.298
Ho: 0.444 0.250 0.108
Ho: 0.556 0.750 0.892
Ho: 0.675 0.250 0.702
Ho: 0.698 0.250 0.046
Ho: 0.802 0.750 0.546
Ho: 0.825 0.750 0.202
Ho: 0.944 0.250 0.392
Te: 0.046 0.250 0.772
Te: 0.069 0.250 0.441
Te: 0.174 0.750 0.959
Te: 0.187 0.750 0.626
Te: 0.196 0.750 0.295
Te: 0.304 0.250 0.795
Te: 0.313 0.250 0.126
Te: 0.326 0.250 0.459
Te: 0.431 0.750 0.941
Te: 0.454 0.750 0.272
Te: 0.546 0.250 0.728
Te: 0.569 0.250 0.059
Te: 0.674 0.750 0.541
Te: 0.687 0.750 0.874
Te: 0.696 0.750 0.205
Te: 0.804 0.250 0.705
Te: 0.813 0.250 0.374
Te: 0.826 0.250 0.041
Te: 0.931 0.750 0.559
Te: 0.954 0.750 0.228

---

Computed, not measured: a crystal of CsI relaxed with PBEsol at the meta-GGA SCAN level of DFT.

Output
Formation energy from raw total energies ... -332 kJ/mol of formula units
Total magnetic moment ... 0.0 μB per formula unit
Crystal system ... cubic

a = 4.506 Å, b = 4.506 Å, c = 4.506 Å
α = 90.00°, β = 90.00°, γ = 90.00°
Element x y z (fractional)
Cs: 0.000 0.000 0.000
I: 0.500 0.500 0.500

---

Computed, not measured: a crystal of CsI relaxed with PBEsol at the meta-GGA SCAN level of DFT.

Output
Formation energy from raw total energies ... -330 kJ/mol of formula units
Total magnetic moment ... 0.0 μB per formula unit
Crystal system ... cubic

a = 5.395 Å, b = 5.395 Å, c = 5.395 Å
α = 60.00°, β = 60.00°, γ = 60.00°
Element x y z (fractional)
Cs: 0.000 0.000 0.000
I: 0.500 0.500 0.500

---

Computed, not measured: a crystal of CsI3 relaxed with PBEsol at the meta-GGA SCAN level of DFT.

Output
Formation energy from raw total energies ... -355 kJ/mol of formula units
Total magnetic moment ... 0.0 μB per formula unit
Crystal system ... orthorhombic

a = 10.832 Å, b = 6.793 Å, c = 10.070 Å
α = 90.00°, β = 90.00°, γ = 90.00°
Element x y z (fractional)
Cs: 0.176 0.250 0.032
Cs: 0.324 0.750 0.532
Cs: 0.676 0.250 0.468
Cs: 0.824 0.750 0.968
I: 0.072 0.750 0.256
I: 0.127 0.250 0.556
I: 0.164 0.750 0.862
I: 0.336 0.250 0.362
I: 0.373 0.750 0.056
I: 0.428 0.250 0.756
I: 0.572 0.750 0.244
I: 0.627 0.250 0.944
I: 0.664 0.750 0.638
I: 0.836 0.250 0.138
I: 0.873 0.750 0.444
I: 0.928 0.250 0.744

---

Computed, not measured: a crystal of Cs3InI6 relaxed with PBEsol at the meta-GGA SCAN level of DFT.

Output
Formation energy from raw total energies ... -1156 kJ/mol of formula units
Total magnetic moment ... 0.0 μB per formula unit
Crystal system ... cubic

a = 9.025 Å, b = 9.025 Å, c = 9.025 Å
α = 60.00°, β = 60.00°, γ = 60.00°
Element x y z (fractional)
Cs: 0.000 0.000 0.000
Cs: 0.250 0.250 0.250
Cs: 0.750 0.750 0.750
In: 0.500 0.500 0.500
I: 0.274 0.274 0.726
I: 0.274 0.726 0.274
I: 0.274 0.726 0.726
I: 0.726 0.274 0.274
I: 0.726 0.274 0.726
I: 0.726 0.726 0.274

---

Computed, not measured: a crystal of Cs2InSbI6 relaxed with PBEsol at the meta-GGA SCAN level of DFT.

Output
Formation energy from raw total energies ... -911 kJ/mol of formula units
Total magnetic moment ... 0.0 μB per formula unit
Crystal system ... cubic

a = 8.634 Å, b = 8.634 Å, c = 8.634 Å
α = 60.00°, β = 60.00°, γ = 60.00°
Element x y z (fractional)
Cs: 0.250 0.250 0.250
Cs: 0.750 0.750 0.750
In: 0.000 0.000 0.000
Sb: 0.500 0.500 0.500
I: 0.254 0.254 0.746
I: 0.254 0.746 0.254
I: 0.254 0.746 0.746
I: 0.746 0.254 0.254
I: 0.746 0.254 0.746
I: 0.746 0.746 0.254

---

Computed, not measured: a crystal of Cs2ScInI6 relaxed with PBEsol at the meta-GGA SCAN level of DFT.

Output
Formation energy from raw total energies ... -1284 kJ/mol of formula units
Total magnetic moment ... 0.0 μB per formula unit
Crystal system ... cubic

a = 8.584 Å, b = 8.584 Å, c = 8.584 Å
α = 60.00°, β = 60.00°, γ = 60.00°
Element x y z (fractional)
Cs: 0.250 0.250 0.250
Cs: 0.750 0.750 0.750
Sc: 0.000 0.000 0.000
In: 0.500 0.500 0.500
I: 0.235 0.235 0.765
I: 0.235 0.765 0.235
I: 0.235 0.765 0.765
I: 0.765 0.235 0.235
I: 0.765 0.235 0.765
I: 0.765 0.765 0.235

---

Computed, not measured: a crystal of Cs2TlInI6 relaxed with PBEsol at the meta-GGA SCAN level of DFT.

Output
Formation energy from raw total energies ... -1002 kJ/mol of formula units
Total magnetic moment ... 0.0 μB per formula unit
Crystal system ... cubic

a = 8.637 Å, b = 8.637 Å, c = 8.637 Å
α = 60.00°, β = 60.00°, γ = 60.00°
Element x y z (fractional)
Cs: 0.250 0.250 0.250
Cs: 0.750 0.750 0.750
Tl: 0.000 0.000 0.000
In: 0.500 0.500 0.500
I: 0.262 0.262 0.738
I: 0.262 0.738 0.262
I: 0.262 0.738 0.738
I: 0.738 0.262 0.262
I: 0.738 0.262 0.738
I: 0.738 0.738 0.262